Here is a geometry-optimized La2NdSm3Se6 structure from Alexandria. Energies are from GGA-PBE.

Output
The calculation puts the density of states at the Fermi level at 0.531 states/eV per atom.

a = 9.454 Å, b = 9.454 Å, c = 8.500 Å
α = 103.22°, β = 103.22°, γ = 25.75°
Element x y z (fractional)
1 La 0.166 0.166 0.332
2 La 0.834 0.834 0.668
3 Nd 0.500 0.500 0.000
4 Sm 0.167 0.167 0.834
5 Sm 0.500 0.500 0.500
6 Sm 0.833 0.833 0.166
7 Se 0.003 0.003 0.748
8 Se 0.332 0.332 0.923
9 Se 0.335 0.335 0.412
10 Se 0.665 0.665 0.588
11 Se 0.668 0.668 0.077
12 Se 0.997 0.997 0.252

=====

Here is a geometry-optimized Sn3S2O structure from Alexandria. Energies are from GGA-PBE.

Output
The calculation puts the density of states at the Fermi level at 0.000 states/eV per atom.

a = 8.980 Å, b = 8.980 Å, c = 5.991 Å
α = 90.00°, β = 90.00°, γ = 56.09°
Element x y z (fractional)
1 Sn 0.183 0.817 0.500
2 Sn 0.208 0.532 0.084
3 Sn 0.468 0.792 0.084
4 Sn 0.532 0.208 0.584
5 Sn 0.792 0.468 0.584
6 Sn 0.817 0.183 0.000
7 S 0.226 0.518 0.632
8 S 0.482 0.774 0.632
9 S 0.518 0.226 0.132
10 S 0.774 0.482 0.132
11 O 0.286 0.714 0.168
12 O 0.714 0.286 0.668

=====

Here is a geometry-optimized Sm3TiTl3O8 structure from Alexandria. Energies are from GGA-PBE.

Output
The calculation puts the density of states at the Fermi level at 0.000 states/eV per atom.

a = 7.667 Å, b = 7.667 Å, c = 7.667 Å
α = 53.74°, β = 53.74°, γ = 53.74°
Element x y z (fractional)
1 Sm 0.000 0.500 0.500
2 Sm 0.500 0.000 0.500
3 Sm 0.500 0.500 0.000
4 Ti 0.000 0.000 0.000
5 Tl 0.000 0.000 0.500
6 Tl 0.000 0.500 0.000
7 Tl 0.500 0.000 0.000
8 O 0.200 0.200 0.761
9 O 0.200 0.761 0.200
10 O 0.239 0.800 0.800
11 O 0.275 0.275 0.275
12 O 0.725 0.725 0.725
13 O 0.761 0.200 0.200
14 O 0.800 0.239 0.800
15 O 0.800 0.800 0.239

=====

Here is a geometry-optimized CsDyGeSe4 structure from Alexandria. Energies are from GGA-PBE.

a = 6.762 Å, b = 7.134 Å, c = 9.872 Å
α = 90.00°, β = 108.52°, γ = 90.00°
Element x y z (fractional)
1 Cs 0.250 0.250 0.059
2 Cs 0.750 0.750 0.941
3 Dy 0.225 0.250 0.548
4 Dy 0.775 0.750 0.452
5 Ge 0.222 0.750 0.339
6 Ge 0.778 0.250 0.661
7 Se 0.017 0.508 0.695
8 Se 0.017 0.992 0.695
9 Se 0.425 0.750 0.185
10 Se 0.445 0.750 0.577
11 Se 0.555 0.250 0.423
12 Se 0.575 0.250 0.815
13 Se 0.983 0.008 0.305
14 Se 0.983 0.492 0.305

=====

Number 1: density 6970 kg/m³, raw total energy -6.03 eV per atom. Number 2: density 3614 kg/m³, raw total energy -4.82 eV per atom. Number 3: density 7569 kg/m³, raw total energy -6.98 eV per atom. Number 4: density 5030 kg/m³, raw total energy -4.57 eV per atom.